{
  "formula": "BeRe2Se",
  "functional": "PBE",
  "state": "optimized geometry",
  "cell": [[1.4913, -2.3294, 0.0000], [1.4913, 2.3294, 0.0000], [0.0000, 0.0000, 8.4480]],
  "species": ["Be", "Re", "Re", "Se"],
  "frac_coords": [[0.0000, 0.0000, 0.0000], [0.0000, 0.0000, 0.4755], [0.5000, 0.5000, 0.2215], [0.5000, 0.5000, 0.7677]],
  "dft_energy_ev_per_atom": -7.4959,
  "n_ef_per_ev_atom": 0.56
}

***

{
  "formula": "K3La2YO6",
  "functional": "PBE",
  "state": "optimized geometry",
  "cell": [[3.1581, -5.4725, 0.0000], [3.1581, 5.4725, 0.0000], [-2.1018, 0.0000, 6.2890]],
  "species": ["K", "K", "K", "La", "La", "Y", "O", "O", "O", "O", "O", "O"],
  "frac_coords": [[0.0000, 0.0000, 0.0000], [0.3366, 0.6634, 0.0000], [0.6634, 0.3366, 0.0000], [0.1668, 0.8332, 0.5000], [0.8332, 0.1668, 0.5000], [0.5000, 0.5000, 0.5000], [0.1168, 0.4369, 0.3105], [0.2426, 0.2426, 0.6887], [0.4369, 0.1168, 0.3105], [0.5631, 0.8832, 0.6895], [0.7574, 0.7574, 0.3113], [0.8832, 0.5631, 0.6895]],
  "dft_energy_ev_per_atom": -6.7980,
  "n_ef_per_ev_atom": 0.00
}